(1)
Here is a relaxed ThH4Cl5 crystal from the Alexandria database. Energies are from PBE.

The structure in POSCAR format:
```
ThH4Cl5
1.0
-3.819 -3.724 -1.409
0.695 -2.629 -5.739
1.292 -6.012 1.584
H Cl Th
4 5 1
Direct
0.449 0.812 0.609 H
0.870 0.188 0.391 H
0.262 0.609 0.188 H
0.058 0.391 0.812 H
0.770 0.770 0.423 Cl
0.193 0.577 0.770 Cl
0.539 0.423 0.230 Cl
0.962 0.230 0.577 Cl
0.442 0.000 0.000 Cl
0.945 0.000 0.000 Th
```

Its space-group type is I4.

---

(2)
Here is a relaxed ThH2Cl8 crystal from the Alexandria database. Energies are from PBE.

The structure in POSCAR format:
```
ThH2Cl8
1.0
6.664 -2.588 -1.808
-3.174 9.407 1.208
-3.174 4.371 8.417
Cl H Th
8 2 1
Direct
0.511 0.117 0.117 Cl
0.489 0.883 0.883 Cl
0.905 0.675 0.027 Cl
0.095 0.973 0.325 Cl
0.095 0.325 0.973 Cl
0.905 0.027 0.675 Cl
0.070 0.622 0.622 Cl
0.930 0.378 0.378 Cl
0.746 0.268 0.268 H
0.254 0.732 0.732 H
0.000 0.000 0.000 Th
```

Its space-group type is C2/m.

---

(3)
Here is a relaxed ThHCl crystal from the Alexandria database. Energies are from PBE.

The structure in POSCAR format:
```
ThHCl
1.0
3.508 0.000 0.000
0.000 4.715 0.000
0.000 0.000 3.446
H Cl Th
1 1 1
Direct
0.000 0.000 0.000 H
0.000 0.500 0.500 Cl
0.500 0.000 0.500 Th
```

Its space-group type is Pmmm.

---

So what do the calculations give for E? Going down the list: -34.958 -39.837 -15.033 eV/cell.
So what do the calculations give for total magnetic moment? Going down the list: 0.000 0.913 0.000 Bohr magnetons per cell.